VASP calculation (PBE) on a relaxed structure of TlBiI3.

Unit cell a=6.272 b=6.272 c=6.272 alpha=90.00 beta=90.00 gamma=90.00
Element x y z (fractional)
I  0.000  0.500  0.000
I  0.000  0.000  0.500
I  0.500  0.000  0.000
Tl  0.500  0.500  0.500
Bi  0.000  0.000  0.000

Properties
* magnetic moment: 0.000 μB/cell
* raw total energy: -2.4943 eV per atom
* density of states at the Fermi level: 2.29 states/eV per cell
* uncorrected formation energy: -0.3148 eV per atom
* ΔE to the lowest computed polymorph: 103 meV/atom



VASP calculation (PBE) on a relaxed structure of TlBi2I.

Unit cell a=5.642 b=5.642 c=5.642 alpha=60.00 beta=60.00 gamma=60.00
Element x y z (fractional)
I  0.000  0.000  0.000
Tl  0.500  0.500  0.500
Bi  0.250  0.250  0.250
Bi  0.750  0.750  0.750

Properties
* magnetic moment: 0.000 μB/cell
* raw total energy: -2.7127 eV per atom
* density of states at the Fermi level: 2.19 states/eV per cell
* uncorrected formation energy: 0.2069 eV per atom
* ΔE to the lowest computed polymorph: 283 meV/atom



VASP calculation (PBE) on a relaxed structure of TlBiI3.

Unit cell a=6.123 b=6.123 c=6.123 alpha=90.00 beta=90.00 gamma=90.00
Each line ends with the local moment (μB).
Element x y z (fractional)
I  0.000  0.500  0.000  0.00
I  0.000  0.000  0.500  0.00
I  0.500  0.000  0.000  -0.02
Tl  0.000  0.000  0.000  -0.02
Bi  0.500  0.500  0.500  1.20

Properties
* magnetic moment: 1.843 μB/cell
* raw total energy: -1.9651 eV per atom
* density of states at the Fermi level: 7.40 states/eV per cell
* uncorrected formation energy: 0.2144 eV per atom
* ΔE to the lowest computed polymorph: 632 meV/atom



Question: The lowest density of states at the Fermi level belongs to which entry?
Answer: TlBi2I



Question: Among the records above, which one has the highest raw total energy?
Answer: number 3